Entry 1:
Entry from Alexandria: crystalline MgVTc3 at its relaxed geometry (PBE).

```
MgVTc3
1.0
-2.643 -3.570 -0.783
2.652 -2.539 2.621
-2.515 1.075 3.586
Mg Tc V
1 3 1
direct
0.500 0.500 0.500
0.000 0.500 0.000
0.000 0.000 0.500
0.500 0.000 0.000
0.000 0.000 0.000
```

Calculated values
**Energy of formation from the pure elements**: 0.999 eV/atom



Entry 2:
Entry from Alexandria: crystalline KS6I at its relaxed geometry (PBE).

```
KS6I
1.0
6.487 2.461 -0.486
3.120 5.470 -0.529
1.545 -0.017 8.227
K S I
1 6 1
direct
0.000 0.000 0.000
0.537 0.133 0.290
0.198 0.335 0.143
0.802 0.665 0.857
0.463 0.867 0.710
0.209 0.362 0.698
0.791 0.638 0.302
0.000 0.000 0.500
```

Calculated values
**Raw formation energy**: -0.22 eV/atom



Entry 3:
Entry from Alexandria: crystalline LiScSnIr at its relaxed geometry (PBE).

```
LiScSnIr
1.0
4.587 0.000 0.000
2.294 3.973 0.000
2.294 1.324 3.745
Sc Ir Sn Li
1 1 1 1
direct
0.750 0.750 0.750
0.500 0.500 0.500
0.250 0.250 0.250
0.000 0.000 0.000
```

Calculated values
**Energy of formation from the pure elements**: -0.719 eV/atom



Entry 4:
Entry from Alexandria: crystalline BaSb2Au at its relaxed geometry (PBE).

```
BaSb2Au
1.0
5.943 0.062 -0.051
4.260 4.144 -0.051
1.790 0.738 5.461
Au Ba Sb
1 1 2
direct
0.447 0.447 0.668
0.244 0.244 0.248
0.032 0.032 0.866
0.777 0.777 0.718
```

Calculated values
**Raw formation energy**: -0.50 eV/atom



Entry 5:
Entry from Alexandria: crystalline Bi at its relaxed geometry (PBE).

```
Bi
1.0
-2.275 1.535 2.091
-1.441 -2.798 -1.412
2.783 -0.931 1.814
Bi
1
direct
0.000 0.000 0.000
```

Calculated values
**Energy of formation from the pure elements**: 0.123 eV/atom
**E above lowest polymorph**: 123.0 meV/atom



Entry 6:
Entry from Alexandria: crystalline K3YAl at its relaxed geometry (PBE).

```
K3YAl
1.0
7.001 0.000 0.000
0.000 7.001 0.000
0.000 0.000 7.001
Y K Al
1 3 1
direct
0.000 0.000 0.000
0.000 0.500 0.000
0.000 0.000 0.500
0.500 0.000 0.000
0.500 0.500 0.500
```

Calculated values
**Energy of formation from the pure elements**: 1.227 eV/atom
**E above lowest polymorph**: 385.4 meV/atom



Entry 7:
Entry from Alexandria: crystalline Ga2FeSe2 at its relaxed geometry (PBE).

```
Ga2FeSe2
1.0
-4.985 3.994 3.271
-0.886 -5.141 4.927
2.671 1.585 2.135
Ga Se Fe
4 4 2
direct
0.377 0.877 0.000
0.877 0.623 0.000
0.623 0.123 0.000
0.123 0.377 0.000
0.216 0.716 0.500
0.716 0.784 0.500
0.784 0.284 0.500
0.284 0.216 0.500
0.000 0.000 0.000
0.500 0.500 0.000
```

Calculated values
**Raw formation energy**: 0.19 eV/atom
**E above lowest polymorph**: 38.2 meV/atom



Entry 8:
Entry from Alexandria: crystalline AgGePCl2 at its relaxed geometry (PBE).

```
AgGePCl2
1.0
-4.265 -1.864 -1.473
1.704 -4.509 0.774
-1.727 0.169 4.787
P Ge Ag Cl
1 1 1 2
direct
0.000 0.000 0.500
0.500 0.500 0.500
0.000 0.000 0.000
0.000 0.500 0.000
0.500 0.000 0.000
```

Calculated values
**Raw formation energy**: 0.48 eV/atom
**E above lowest polymorph**: 231.2 meV/atom



Entry 9:
Entry from Alexandria: crystalline CuNi at its relaxed geometry (PBE).

```
CuNi
1.0
-3.578 5.338 -0.210
-1.224 -1.066 -6.222
-5.201 -3.423 1.609
Cu Ni
6 6
direct
0.250 0.500 0.000
0.750 0.500 0.000
0.500 0.000 0.250
0.500 0.000 0.750
0.000 0.250 0.500
0.000 0.750 0.500
0.250 0.000 0.500
0.750 0.000 0.500
0.000 0.500 0.250
0.000 0.500 0.750
0.500 0.250 0.000
0.500 0.750 0.000
```

Calculated values
**Energy of formation from the pure elements**: 1.320 eV/atom



Entry 10:
Entry from Alexandria: crystalline PrAg6Hg2 at its relaxed geometry (PBE).

```
PrAg6Hg2
1.0
-2.109 1.472 2.369
-4.345 -6.567 2.807
2.039 -4.130 6.976
Pr Ag Hg
1 6 2
direct
0.000 0.000 0.000
0.324 0.999 0.354
0.676 0.001 0.646
0.676 0.646 0.001
0.500 0.327 0.673
0.500 0.673 0.327
0.324 0.354 0.999
0.143 0.354 0.354
0.857 0.646 0.646
```

Calculated values
**Energy of formation from the pure elements**: 0.022 eV/atom



Entry 11:
Entry from Alexandria: crystalline Ac3Ga2BRu3 at its relaxed geometry (PBE).

```
Ac3Ga2BRu3
1.0
3.644 0.000 0.000
0.000 7.953 0.000
0.000 -3.977 6.888
Ac Ga B Ru
3 2 1 3
direct
0.000 0.000 0.355
0.000 0.645 0.645
0.000 0.355 0.000
0.500 0.333 0.667
0.500 0.667 0.333
0.000 0.000 0.000
0.500 0.798 0.000
0.500 0.202 0.202
0.500 0.000 0.798
```

Calculated values
**Energy of formation from the pure elements**: -0.046 eV/atom



Entry 12:
Entry from Alexandria: crystalline Y3NbHg at its relaxed geometry (PBE).

```
Y3NbHg
1.0
5.567 0.000 0.000
0.000 5.567 0.000
0.000 0.000 5.567
Y Nb Hg
3 1 1
direct
0.000 0.500 0.000
0.000 0.000 0.500
0.500 0.000 0.000
0.500 0.500 0.500
0.000 0.000 0.000
```

Calculated values
**Energy of formation from the pure elements**: 0.811 eV/atom
**E above lowest polymorph**: 323.1 meV/atom



Ρ, record by record: 6.68; 2.58; 8.83; 7.19; 10.98; 1.13; 6.04; 3.86; 4.58; 9.90; 9.44; 5.39 g/cm3
Magnetization, record by record: 2.13; 0.00; 0.00; 0.00; 0.00; 3.24; 5.81; 0.00; 4.64; 0.00; 0.00; 3.47 Bohr magnetons per cell
Final energy, record by record: -7.363; -3.643; -5.996; -3.866; -3.758; -1.473; -4.103; -2.837; -3.619; -2.477; -5.922; -5.141 eV/atom